[1]
Compound: SrZr4Ir
Source: Alexandria
Functional: PBE
Structure: optimized geometry

Lattice parameters (Å, degrees): 5.8230 5.8230 5.8230 60.00 60.00 60.00
Fractional coordinates of all 6 atoms:
1 Sr 0.0000 0.0000 0.0000
2 Zr 0.3766 0.8701 0.3766
3 Zr 0.8701 0.3766 0.3766
4 Zr 0.3766 0.3766 0.8701
5 Zr 0.3766 0.3766 0.3766
6 Ir 0.7500 0.7500 0.7500

- energy of formation from the pure elements (kJ per mole of atoms) = 47.87

[2]
Compound: Th2Ga4AgAu3
Source: Alexandria
Functional: PBE
Structure: optimized geometry

Lattice parameters (Å, degrees): 4.3443 4.3443 10.9493 90.00 90.00 90.00
Fractional coordinates of all 10 atoms:
1 Th 0.5000 0.0000 0.2545
2 Th 0.0000 0.5000 0.7455
3 Ga 0.5000 0.5000 0.0000
4 Ga 0.0000 0.0000 0.0000
5 Ga 0.5000 0.0000 0.6360
6 Ga 0.0000 0.5000 0.3640
7 Ag 0.5000 0.5000 0.5000
8 Au 0.0000 0.0000 0.5000
9 Au 0.5000 0.0000 0.8650
10 Au 0.0000 0.5000 0.1350

- energy of formation from the pure elements (kJ per mole of atoms) = -51.44

[3]
Compound: ZnReTe
Source: Alexandria
Functional: PBE
Structure: optimized geometry

Lattice parameters (Å, degrees): 4.4099 4.4099 4.4099 60.00 60.00 60.00
Fractional coordinates of all 3 atoms:
1 Re 0.7500 0.7500 0.7500
2 Te 0.0000 0.0000 0.0000
3 Zn 0.5000 0.5000 0.5000

M_tot
In order: 0.0; 0.0; 0.0
Unit: μB/f.u.
Raw total energy
In order: -41.8; -45.0; -14.9
Unit: eV per cell